1.
# PBE Mn2Pt9Au, optimized geometry
data_Mn2Pt9Au
_chemical_formula_sum 'Mn2 Pt9 Au1'
_symmetry_space_group_name_H-M 'P 4/m m m'
_symmetry_Int_Tables_number 123
_symmetry_space_group_name_Hall '-P 4 2'
_cell_length_a 3.9491
_cell_length_b 3.9491
_cell_length_c 11.9394
_cell_angle_alpha 90.00
_cell_angle_beta 90.00
_cell_angle_gamma 90.00
loop_
_atom_site_label
_atom_site_type_symbol
_atom_site_fract_x
_atom_site_fract_y
_atom_site_fract_z
Mn1 Mn 0.0000 0.0000 0.1657
Pt1 Pt 0.0000 0.5000 0.0000
Pt2 Pt 0.0000 0.5000 0.3245
Pt3 Pt 0.5000 0.5000 0.1620
Pt4 Pt 0.5000 0.5000 0.5000
Au1 Au 0.0000 0.0000 0.5000
# **Energy relative to the elements**: -0.22 eV per atom
# **Fermi-level density of states**: 13.6 states/eV/f.u.
# **V**: 15.5 Å³/atom
# **Total magnetization**: 8.5 μB per formula unit

=====

2.
# PBE MnPtAu, optimized geometry
data_MnPtAu
_chemical_formula_sum 'Mn4 Pt4 Au4'
_symmetry_space_group_name_H-M 'C 1 m 1'
_symmetry_Int_Tables_number 8
_cell_length_a 8.7492
_cell_length_b 4.0667
_cell_length_c 5.6136
_cell_angle_alpha 90.00
_cell_angle_beta 104.86
_cell_angle_gamma 90.00
loop_
_symmetry_equiv_pos_as_xyz
'x,y,z'
'x,-y,z'
'x+1/2,y+1/2,z'
'x+1/2,-y+1/2,z'
loop_
_atom_site_label
_atom_site_type_symbol
_atom_site_fract_x
_atom_site_fract_y
_atom_site_fract_z
Mn1 Mn 0.0000 0.0000 0.0000
Mn2 Mn 0.1810 0.5000 0.3507
Pt1 Pt 0.1720 0.5000 0.8700
Pt2 Pt 0.3400 0.0000 0.1782
Au1 Au 0.0120 0.0000 0.4969
Au2 Au 0.3412 0.0000 0.6814
# **Energy relative to the elements**: -0.20 eV per atom
# **Fermi-level density of states**: 0.9 states/eV/f.u.
# **V**: 16.1 Å³/atom
# **Total magnetization**: 4.4 μB per formula unit

=====

3.
# PBE Mn2PtAu, optimized geometry
data_Mn2PtAu
_chemical_formula_sum 'Mn4 Pt2 Au2'
_symmetry_space_group_name_H-M 'C m m m'
_symmetry_Int_Tables_number 65
_symmetry_space_group_name_Hall '-C 2 2'
_cell_length_a 6.0125
_cell_length_b 7.1291
_cell_length_c 2.9409
_cell_angle_alpha 90.00
_cell_angle_beta 90.00
_cell_angle_gamma 90.00
loop_
_atom_site_label
_atom_site_type_symbol
_atom_site_fract_x
_atom_site_fract_y
_atom_site_fract_z
Mn1 Mn 0.2500 0.2500 0.0000
Pt1 Pt 0.0000 0.0000 0.5000
Au1 Au 0.0000 0.5000 0.5000
# **Energy relative to the elements**: -0.16 eV per atom
# **Fermi-level density of states**: 2.0 states/eV/f.u.
# **V**: 15.8 Å³/atom
# **Total magnetization**: 8.3 μB per formula unit